Cs3Rb | PBE-GGA | optimized geometry

```
data_Cs3Rb
_chemical_formula_sum 'Cs3 Rb1'
_cell_length_a 9.1527
_cell_length_b 9.1527
_cell_length_c 9.1527
_cell_angle_alpha 130.72
_cell_angle_beta 130.72
_cell_angle_gamma 72.27
_symmetry_space_group_name_H-M 'P 1'
_symmetry_Int_Tables_number 1
_symmetry_space_group_name_Hall 'P 1'
loop_
_atom_site_label
_atom_site_type_symbol
_atom_site_fract_x
_atom_site_fract_y
_atom_site_fract_z
_atom_site_occupancy
Cs1 Cs 0.0000 0.0000 0.0000 1
Cs2 Cs 0.2500 0.7500 0.5000 1
Cs3 Cs 0.7500 0.2500 0.5000 1
Rb1 Rb 0.5000 0.5000 0.0000 1
```

Computed properties:
- raw total energy (eV per cell) = -3.5
- formation energy from the elements (eV per atom) = 0.0004

Dy2RhI | PBE-GGA | optimized geometry

```
data_Dy2RhI
_chemical_formula_sum 'Dy2 Rh1 I1'
_cell_length_a 8.2647
_cell_length_b 8.2647
_cell_length_c 8.2647
_cell_angle_alpha 28.49
_cell_angle_beta 28.49
_cell_angle_gamma 28.49
_symmetry_space_group_name_H-M 'P 1'
_symmetry_Int_Tables_number 1
_symmetry_space_group_name_Hall 'P 1'
loop_
_atom_site_label
_atom_site_type_symbol
_atom_site_fract_x
_atom_site_fract_y
_atom_site_fract_z
_atom_site_occupancy
Dy1 Dy 0.2272 0.2272 0.2272 1
Dy2 Dy 0.7728 0.7728 0.7728 1
Rh1 Rh 0.5000 0.5000 0.5000 1
I1 I 0.0000 0.0000 0.0000 1
```

Computed properties:
- raw total energy (eV per cell) = -21.9
- E_form (uncorrected) (eV/f.u.) = -3.8

Ti3VGa4 | PBE-GGA | optimized geometry

```
data_Ti3VGa4
_chemical_formula_sum 'Ti6 V2 Ga8'
_cell_length_a 7.9583
_cell_length_b 5.6227
_cell_length_c 5.5763
_cell_angle_alpha 90.00
_cell_angle_beta 90.00
_cell_angle_gamma 90.00
_symmetry_space_group_name_H-M 'P 1'
_symmetry_Int_Tables_number 1
_symmetry_space_group_name_Hall 'P 1'
loop_
_atom_site_label
_atom_site_type_symbol
_atom_site_fract_x
_atom_site_fract_y
_atom_site_fract_z
_atom_site_occupancy
Ti1 Ti 0.0000 0.0000 0.0000 1
Ti2 Ti 0.2500 0.2553 0.2500 1
Ti3 Ti 0.2500 0.7447 0.7500 1
Ti4 Ti 0.5000 0.0000 0.5000 1
Ti5 Ti 0.7500 0.2553 0.2500 1
Ti6 Ti 0.7500 0.7447 0.7500 1
V1 V 0.0000 0.5000 0.0000 1
V2 V 0.5000 0.5000 0.5000 1
Ga1 Ga 0.0000 0.0000 0.5000 1
Ga2 Ga 0.0000 0.5000 0.5000 1
Ga3 Ga 0.2500 0.2527 0.7500 1
Ga4 Ga 0.2500 0.7473 0.2500 1
Ga5 Ga 0.5000 0.0000 0.0000 1
Ga6 Ga 0.5000 0.5000 0.0000 1
Ga7 Ga 0.7500 0.2527 0.7500 1
Ga8 Ga 0.7500 0.7473 0.2500 1
```

Computed properties:
- raw total energy (eV per cell) = -94.6
- formation energy from the elements (eV per atom) = -0.2971

no.,ρ (g/cm3)
1,1.9
2,8.1
3,6.3